Run i
A geometry-optimized NaSi2Pd4 structure. Source: the Alexandria database, functional PBE.

The density of states at the Fermi level comes out at 5.74 states/eV/cell. Its crystal system is tetragonal.

It has space group P4_2/mnm (No. 136), with a = 7.8111 Å, b = 7.8111 Å, c = 3.7594 Å, α = 90.00°, β = 90.00° and γ = 90.00°. The asymmetric unit holds Na at (0.0000, 0.0000, 0.0000), Si at (0.2355, 0.2355, 0.5000) and Pd at (0.0702, 0.6784, 0.5000).

Run ii
A geometry-optimized NaSi2Pd4 structure. Source: the Alexandria database, functional PBE.

The density of states at the Fermi level comes out at 8.43 states/eV/cell. Its crystal system is orthorhombic.

It has space group Pnma (No. 62), with a = 17.3112 Å, b = 4.0872 Å, c = 6.2120 Å, α = 90.00°, β = 90.00° and γ = 90.00°. The asymmetric unit holds Na at (0.1377, 0.2500, 0.0176), Si at (0.0400, 0.7500, 0.2533), Si at (0.2106, 0.2500, 0.5526), Pd at (0.0310, 0.7500, 0.8570), Pd at (0.0718, 0.2500, 0.5034), Pd at (0.1802, 0.7500, 0.3201) and Pd at (0.2017, 0.7500, 0.7617).

Most stable of them? run ii.

Run i
A geometry-optimized Na3SiPd structure. Source: the Alexandria database, functional PBE.

The density of states at the Fermi level comes out at 1.97 states/eV/cell. Its crystal system is cubic.

It has space group Pm-3m (No. 221), with a = 5.4636 Å, b = 5.4636 Å, c = 5.4636 Å, α = 90.00°, β = 90.00° and γ = 90.00°. The asymmetric unit holds Na at (0.0000, 0.0000, 0.5000), Si at (0.0000, 0.0000, 0.0000) and Pd at (0.5000, 0.5000, 0.5000).

Run ii
A geometry-optimized Na3SiPd structure. Source: the Alexandria database, functional PBE.

The density of states at the Fermi level comes out at 4.65 states/eV/cell. Its crystal system is cubic.

It has space group Pm-3m (No. 221), with a = 5.2847 Å, b = 5.2847 Å, c = 5.2847 Å, α = 90.00°, β = 90.00° and γ = 90.00°. The asymmetric unit holds Na at (0.0000, 0.0000, 0.5000), Si at (0.5000, 0.5000, 0.5000) and Pd at (0.0000, 0.0000, 0.0000).

Most stable of them? run ii.

Run i
A geometry-optimized NaSmPd2 structure. Source: the Alexandria database, functional PBE.

The density of states at the Fermi level comes out at 12.87 states/eV/cell. Its crystal system is cubic.

It has space group Fm-3m (No. 225), with a = 6.9512 Å, b = 6.9512 Å, c = 6.9512 Å, α = 90.00°, β = 90.00° and γ = 90.00°. The asymmetric unit holds Na at (0.0000, 0.0000, 0.0000), Sm at (0.0000, 0.0000, 0.5000) and Pd at (0.2500, 0.2500, 0.2500).

Run ii
A geometry-optimized NaSmPd2 structure. Source: the Alexandria database, functional PBE.

The density of states at the Fermi level comes out at 0.92 states/eV/cell. Its crystal system is trigonal.

It has space group R-3m (No. 166, hexagonal axes), with a = 3.7711 Å, b = 3.7711 Å, c = 23.4347 Å, α = 90.00°, β = 90.00° and γ = 120.00°. The asymmetric unit holds Na at (0.0000, 0.0000, 0.0000), Sm at (0.0000, 0.0000, 0.5000) and Pd at (0.0000, 0.0000, 0.2451).

Most stable of them? run i.

Run i
A geometry-optimized NaSm2Pd structure. Source: the Alexandria database, functional PBE.

The density of states at the Fermi level comes out at 3.33 states/eV/cell. Its crystal system is tetragonal.

It has space group P4/mmm (No. 123), with a = 3.5678 Å, b = 3.5678 Å, c = 9.3164 Å, α = 90.00°, β = 90.00° and γ = 90.00°. The asymmetric unit holds Na at (0.0000, 0.0000, 0.0000), Sm at (0.5000, 0.5000, 0.3164) and Pd at (0.0000, 0.0000, 0.5000).

Run ii
A geometry-optimized NaSm2Pd structure. Source: the Alexandria database, functional PBE.

The density of states at the Fermi level comes out at 7.65 states/eV/cell. Its crystal system is trigonal.

It has space group R-3m (No. 166, hexagonal axes), with a = 4.1298 Å, b = 4.1298 Å, c = 31.6146 Å, α = 90.00°, β = 90.00° and γ = 120.00°. The asymmetric unit holds Na at (0.0000, 0.0000, 0.0000), Sm at (0.0000, 0.0000, 0.1183) and Pd at (0.0000, 0.0000, 0.5000).

Most stable of them? run i.

Run i
A geometry-optimized NaSn3Pd3 structure. Source: the Alexandria database, functional PBE.

The density of states at the Fermi level comes out at 18.59 states/eV/cell. Its crystal system is trigonal.

It has space group R-3 (No. 148, hexagonal axes), with a = 7.0339 Å, b = 7.0339 Å, c = 22.6441 Å, α = 90.00°, β = 90.00° and γ = 120.00°. The asymmetric unit holds Na at (0.0000, 0.0000, 0.1803), Sn at (0.0453, 0.4355, 0.2517) and Pd at (0.0297, 0.2546, 0.7040).

Run ii
A geometry-optimized NaSn3Pd3 structure. Source: the Alexandria database, functional PBE.

The density of states at the Fermi level comes out at 4.93 states/eV/cell. Its crystal system is cubic.

It has space group Pm-3n (No. 223), with a = 7.3931 Å, b = 7.3931 Å, c = 7.3931 Å, α = 90.00°, β = 90.00° and γ = 90.00°. The asymmetric unit holds Na at (0.0000, 0.0000, 0.0000), Sn at (0.0000, 0.2500, 0.5000) and Pd at (0.0000, 0.5000, 0.2500).

Most stable of them? run i.

Run i
A geometry-optimized NaSn2Pd2 structure. Source: the Alexandria database, functional PBE.

The density of states at the Fermi level comes out at 4.15 states/eV/cell. Its crystal system is tetragonal.

It has space group I4/mmm (No. 139), with a = 4.6377 Å, b = 4.6377 Å, c = 10.9203 Å, α = 90.00°, β = 90.00° and γ = 90.00°. The asymmetric unit holds Na at (0.0000, 0.0000, 0.0000), Sn at (0.0000, 0.5000, 0.2500) and Pd at (0.0000, 0.0000, 0.3774).

Run ii
A geometry-optimized NaSn2Pd2 structure. Source: the Alexandria database, functional PBE.

The density of states at the Fermi level comes out at 3.41 states/eV/cell. Its crystal system is tetragonal.

It has space group P4/mbm (No. 127), with a = 7.9669 Å, b = 7.9669 Å, c = 3.2071 Å, α = 90.00°, β = 90.00° and γ = 90.00°. The asymmetric unit holds Na at (0.0000, 0.0000, 0.0000), Sn at (0.1578, 0.3422, 0.5000) and Pd at (0.1366, 0.6366, 0.0000).

Run iii
A geometry-optimized NaSn2Pd2 structure. Source: the Alexandria database, functional PBE.

The density of states at the Fermi level comes out at 4.16 states/eV/cell. Its crystal system is tetragonal.

It has space group I4/mmm (No. 139), with a = 4.6694 Å, b = 4.6694 Å, c = 10.8942 Å, α = 90.00°, β = 90.00° and γ = 90.00°. The asymmetric unit holds Na at (0.0000, 0.0000, 0.0000), Sn at (0.0000, 0.0000, 0.3664) and Pd at (0.0000, 0.5000, 0.2500).

Run iv
A geometry-optimized NaSn2Pd2 structure. Source: the Alexandria database, functional PBE.

The density of states at the Fermi level comes out at 4.93 states/eV/cell. Its crystal system is orthorhombic.

It has space group Pmma (No. 51), with a = 5.9407 Å, b = 4.5707 Å, c = 7.5945 Å, α = 90.00°, β = 90.00° and γ = 90.00°. The asymmetric unit holds Na at (0.0000, 0.0000, 0.0000), Sn at (0.2500, 0.0000, 0.3917), Sn at (0.2500, 0.5000, 0.8035), Pd at (0.0000, 0.5000, 0.5000) and Pd at (0.2500, 0.5000, 0.1699).

Most stable of them? run ii.

Run i
A geometry-optimized NaSn2Pd4 structure. Source: the Alexandria database, functional PBE.

The density of states at the Fermi level comes out at 7.59 states/eV/cell. Its crystal system is tetragonal.

It has space group P4_2/mnm (No. 136), with a = 7.9664 Å, b = 7.9664 Å, c = 4.3235 Å, α = 90.00°, β = 90.00° and γ = 90.00°. The asymmetric unit holds Na at (0.0000, 0.0000, 0.0000), Sn at (0.2210, 0.2210, 0.5000) and Pd at (0.0918, 0.6514, 0.5000).

Run ii
A geometry-optimized NaSn2Pd4 structure. Source: the Alexandria database, functional PBE.

The density of states at the Fermi level comes out at 8.46 states/eV/cell. Its crystal system is tetragonal.

It has space group I4/mmm (No. 139), with a = 4.6303 Å, b = 4.6303 Å, c = 13.6573 Å, α = 90.00°, β = 90.00° and γ = 90.00°. The asymmetric unit holds Na at (0.0000, 0.0000, 0.0000), Sn at (0.0000, 0.0000, 0.3774), Pd at (0.0000, 0.0000, 0.1903) and Pd at (0.0000, 0.5000, 0.0000).

Most stable of them? run i.

Run i
A geometry-optimized NaSnPd3 structure. Source: the Alexandria database, functional PBE.

The density of states at the Fermi level comes out at 7.84 states/eV/cell. Its crystal system is orthorhombic.

It has space group Cmcm (No. 63), with a = 5.7543 Å, b = 13.1984 Å, c = 5.1426 Å, α = 90.00°, β = 90.00° and γ = 90.00°. The asymmetric unit holds Na at (0.0000, 0.0702, 0.2500), Sn at (0.0000, 0.3220, 0.7500), Pd at (0.0000, 0.5000, 0.0000) and Pd at (0.2356, 0.3371, 0.2500).

Run ii
A geometry-optimized NaSnPd3 structure. Source: the Alexandria database, functional PBE.

The density of states at the Fermi level comes out at 7.60 states/eV/cell. Its crystal system is trigonal.

It has space group R3c (No. 161, hexagonal axes), with a = 6.9361 Å, b = 6.9361 Å, c = 14.7552 Å, α = 90.00°, β = 90.00° and γ = 120.00°. The asymmetric unit holds Na at (0.0000, 0.0000, 0.0000), Sn at (0.0000, 0.0000, 0.1989) and Pd at (0.0370, 0.2560, 0.3388).

Run iii
A geometry-optimized NaSnPd3 structure. Source: the Alexandria database, functional PBE.

The density of states at the Fermi level comes out at 3.82 states/eV/cell. Its crystal system is cubic.

It has space group Pm-3m (No. 221), with a = 4.6453 Å, b = 4.6453 Å, c = 4.6453 Å, α = 90.00°, β = 90.00° and γ = 90.00°. The asymmetric unit holds Na at (0.0000, 0.0000, 0.0000), Sn at (0.5000, 0.5000, 0.5000) and Pd at (0.0000, 0.0000, 0.5000).

Most stable of them? run i.

Run i
A geometry-optimized Na3SnPd structure. Source: the Alexandria database, functional PBE.

The density of states at the Fermi level comes out at 3.40 states/eV/cell. Its crystal system is cubic.

It has space group Pm-3m (No. 221), with a = 5.3364 Å, b = 5.3364 Å, c = 5.3364 Å, α = 90.00°, β = 90.00° and γ = 90.00°. The asymmetric unit holds Na at (0.0000, 0.0000, 0.5000), Sn at (0.5000, 0.5000, 0.5000) and Pd at (0.0000, 0.0000, 0.0000).

Run ii
A geometry-optimized Na3SnPd structure. Source: the Alexandria database, functional PBE.

The density of states at the Fermi level comes out at 8.55 states/eV/cell. Its crystal system is monoclinic.

It has space group C2/m (No. 12), with a = 11.1837 Å, b = 9.0524 Å, c = 7.5586 Å, α = 90.00°, β = 130.77° and γ = 90.00°. The asymmetric unit holds Na at (0.0534, 0.0000, 0.3364), Na at (0.2145, 0.3086, 0.7606), Sn at (0.0689, 0.5000, 0.2744) and Pd at (0.2213, 0.5000, 0.1155).

Most stable of them? run ii.

Run i
A geometry-optimized NaSn8Pd2 structure. Source: the Alexandria database, functional PBE.

The density of states at the Fermi level comes out at 4.57 states/eV/cell. Its crystal system is tetragonal.

It has space group P4/mmm (No. 123), with a = 6.5629 Å, b = 6.5629 Å, c = 6.6987 Å, α = 90.00°, β = 90.00° and γ = 90.00°. The asymmetric unit holds Na at (0.0000, 0.0000, 0.0000), Sn at (0.2661, 0.2661, 0.2533) and Pd at (0.0000, 0.5000, 0.5000).

Run ii
A geometry-optimized NaSn8Pd2 structure. Source: the Alexandria database, functional PBE.

The density of states at the Fermi level comes out at 9.88 states/eV/cell. Its crystal system is monoclinic.

It has space group C2/m (No. 12), with a = 8.7608 Å, b = 11.7313 Å, c = 5.5810 Å, α = 90.00°, β = 97.82° and γ = 90.00°. The asymmetric unit holds Na at (0.0000, 0.0000, 0.0000), Sn at (0.0000, 0.2746, 0.0000), Sn at (0.1397, 0.5000, 0.7730), Sn at (0.2105, 0.1350, 0.6455) and Pd at (0.0000, 0.3146, 0.5000).

Most stable of them? run ii.